Density functional theory data (GGA-PBE) for a relaxed Li3ClO crystal.

Properties
Formation energy from raw total energies: -1.7992 eV/atom
Space-group type: P2_1/c, No. 14
Offset from the most stable computed form: 0.12 eV/f.u.

Unit cell a=20.4725 b=5.3330 c=6.6991 alpha=90.00 beta=160.13 gamma=90.00
With the nearest neighbours (Å) after each atom.
Fractional coordinates of all 20 atoms:
Li 0.3390 0.9291 0.0632  3 O 2.00-2.02
Li 0.6610 0.0709 0.9368  3 O 2.00-2.02
Li 0.1610 0.4291 0.4368  3 O 2.00-2.02
Li 0.8390 0.5709 0.5632  3 O 2.00-2.02
Li 0.4554 0.4276 0.5250  2 O 1.89-1.93
Li 0.5446 0.5724 0.4750  2 O 1.89-1.93
Li 0.0446 0.9276 0.9750  2 O 1.89-1.93
Li 0.9554 0.0724 0.0250  2 O 1.89-1.93
Li 0.6007 0.8099 0.1507  1 O 1.84
Li 0.3993 0.1901 0.8493  1 O 1.84
Li 0.8993 0.3099 0.3493  1 O 1.84
Li 0.1007 0.6901 0.6507  1 O 1.84
O 0.5799 0.7426 0.8219  6 Li 1.84-2.02
O 0.4201 0.2574 0.1781  6 Li 1.84-2.02
O 0.9201 0.2426 0.6781  6 Li 1.84-2.02
O 0.0799 0.7574 0.3219  6 Li 1.84-2.02
Cl 0.1635 0.2514 0.8760  5 Li 2.40-2.59
Cl 0.8365 0.7486 0.1240  5 Li 2.40-2.59
Cl 0.3365 0.7514 0.6240  5 Li 2.40-2.59
Cl 0.6635 0.2486 0.3760  5 Li 2.40-2.59



Density functional theory data (GGA-PBE) for a relaxed Zn5C7 crystal.

Properties
Energy of formation from the pure elements: 1187 kJ/mol of formula units
Space-group type: I4mm, No. 107

Unit cell a=6.0551 b=6.0551 c=6.0551 alpha=98.35 beta=98.35 gamma=135.21
With the nearest neighbours (Å) after each atom.
Fractional coordinates of all 12 atoms:
Zn 0.0375 0.0375 0.0000  1 C 1.98
Zn 0.4104 0.7762 0.0000  3 C 2.11-2.13
Zn 0.7762 0.4104 0.0000  3 C 2.11-2.13
Zn 0.4104 0.4104 0.6341  3 C 2.11-2.13
Zn 0.7762 0.7762 0.3659  3 C 2.11-2.13
C 0.4669 0.4669 0.0000  5 Zn 1.98-2.13
C 0.3864 0.8864 0.5000  4 C 1.52
C 0.8864 0.3864 0.5000  4 C 1.52
C 0.6374 0.2626 0.6252  2 C 1.52
C 0.6374 0.0121 0.3748  2 C 1.52
C 0.0121 0.6374 0.3748  2 C 1.52
C 0.2626 0.6374 0.6252  2 C 1.52



Density functional theory data (GGA-PBE) for a relaxed Gd3YS crystal.

Properties
Formation energy from raw total energies: -0.6705 eV/atom
Space-group type: Pm-3m, No. 221

Unit cell a=5.3744 b=5.3744 c=5.3744 alpha=90.00 beta=90.00 gamma=90.00
With the nearest neighbours (Å) after each atom.
Fractional coordinates of all 5 atoms:
Y 0.5000 0.5000 0.5000  12 Gd 3.80
S 0.0000 0.0000 0.0000  6 Gd 2.69
Gd 0.0000 0.5000 0.0000  2 S 2.69
Gd 0.0000 0.0000 0.5000  2 S 2.69
Gd 0.5000 0.0000 0.0000  2 S 2.69



Density functional theory data (GGA-PBE) for a relaxed NaHgO3 crystal.

Properties
Formation energy from raw total energies: 0.5602 eV/atom
Space-group type: Pm-3m, No. 221

Unit cell a=4.0639 b=4.0639 c=4.0639 alpha=90.00 beta=90.00 gamma=90.00
With the nearest neighbours (Å) after each atom.
Fractional coordinates of all 5 atoms:
Na 0.0000 0.0000 0.0000  6 O 2.03
Hg 0.5000 0.5000 0.5000  12 O 2.87
O 0.0000 0.5000 0.0000  2 Na 2.03
O 0.0000 0.0000 0.5000  2 Na 2.03
O 0.5000 0.0000 0.0000  2 Na 2.03



Density functional theory data (GGA-PBE) for a relaxed Y3Tm2In2 crystal.

Properties
Energy of formation from the pure elements: -118 kJ/mol of formula units
Space-group type: Cmmm, No. 65
Offset from the most stable computed form: 0.68 eV/f.u.

Unit cell a=4.9576 b=3.4453 c=11.9286 alpha=90.00 beta=78.01 gamma=90.00
With the nearest neighbours (Å) after each atom.
Fractional coordinates of all 7 atoms:
Y 0.8551 0.0000 0.2898  3 Y 3.38-3.45, 6 Tm 3.43-3.71, 4 In 3.47
Y 0.0000 0.0000 0.0000  4 Y 3.38-3.45, 8 In 3.45
Y 0.1449 0.0000 0.7102  3 Y 3.38-3.45, 6 Tm 3.43-3.71, 4 In 3.47
Tm 0.7143 0.5000 0.5714  2 Tm 2.99, 1 In 3.32
Tm 0.2857 0.5000 0.4286  2 Tm 2.99, 1 In 3.32
In 0.5719 0.5000 0.8563  1 Tm 3.32, 3 In 3.35-3.45, 8 Y 3.45-3.47
In 0.4281 0.5000 0.1437  1 Tm 3.32, 3 In 3.35-3.45, 8 Y 3.45-3.47



Density functional theory data (GGA-PBE) for a relaxed Sr4MgCd crystal.

Properties
Energy of formation from the pure elements: -77 kJ/mol of formula units
Space-group type: P4/mmm, No. 123
Offset from the most stable computed form: 0.00 eV/f.u.

Unit cell a=4.1328 b=4.1328 c=14.5399 alpha=90.00 beta=90.00 gamma=90.00
With the nearest neighbours (Å) after each atom.
Fractional coordinates of all 6 atoms:
Sr 0.5000 0.5000 0.8647  4 Cd 3.52, 1 Sr 3.94
Sr 0.5000 0.5000 0.1353  4 Cd 3.52, 1 Sr 3.94
Sr 0.0000 0.0000 0.6454  4 Mg 3.61
Sr 0.0000 0.0000 0.3546  4 Mg 3.61
Mg 0.5000 0.5000 0.5000  8 Sr 3.61
Cd 0.0000 0.0000 0.0000  8 Sr 3.52



Density functional theory data (GGA-PBE) for a relaxed TmBAs crystal.

Properties
Energy of formation from the pure elements: -185 kJ/mol of formula units
Space-group type: C2/m, No. 12

Unit cell a=3.4461 b=5.3289 c=5.9431 alpha=83.56 beta=90.00 gamma=108.86
With the nearest neighbours (Å) after each atom.
Fractional coordinates of all 6 atoms:
Tm 0.1390 0.2780 0.6953  4 B 2.60-2.83, 1 As 2.79
Tm 0.8610 0.7220 0.3047  4 B 2.60-2.83, 1 As 2.79
B 0.4306 0.8612 0.5970  1 B 1.70
B 0.5694 0.1388 0.4030  1 B 1.70
As 0.8619 0.7238 0.7993  2 B 2.17
As 0.1381 0.2762 0.2007  2 B 2.17



Density functional theory data (GGA-PBE) for a relaxed BaSr3Be crystal.

Properties
Energy of formation from the pure elements: 124 kJ/mol of formula units
Space-group type: Pm-3m, No. 221
Offset from the most stable computed form: 0.00 eV/f.u.

Unit cell a=6.2233 b=6.2233 c=6.2233 alpha=90.00 beta=90.00 gamma=90.00
With the nearest neighbours (Å) after each atom.
Fractional coordinates of all 5 atoms:
Sr 0.0000 0.5000 0.0000  2 Be 3.11
Sr 0.0000 0.0000 0.5000  2 Be 3.11
Sr 0.5000 0.0000 0.0000  2 Be 3.11
Ba 0.5000 0.5000 0.5000  12 Sr 4.40
Be 0.0000 0.0000 0.0000  6 Sr 3.11



Density functional theory data (GGA-PBE) for a relaxed BaNbO3 crystal.

Properties
Formation energy from raw total energies: -2.4402 eV/atom
Space-group type: P6_3/mmc, No. 194

Unit cell a=3.7781 b=3.7781 c=13.6291 alpha=90.00 beta=90.00 gamma=120.00
With the nearest neighbours (Å) after each atom.
Fractional coordinates of all 10 atoms:
Nb 0.3333 0.6667 0.7500  2 O 1.94
Nb 0.6667 0.3333 0.2500  2 O 1.94
Ba 0.0000 0.0000 0.0000  6 O 2.63
Ba 0.0000 0.0000 0.5000  6 O 2.63
O 0.0000 0.0000 0.2500  3 Nb 2.18
O 0.0000 0.0000 0.7500  3 Nb 2.18
O 0.3333 0.6667 0.8922  1 Nb 1.94
O 0.3333 0.6667 0.6078  1 Nb 1.94
O 0.6667 0.3333 0.3922  1 Nb 1.94
O 0.6667 0.3333 0.1078  1 Nb 1.94



Density functional theory data (GGA-PBE) for a relaxed Pm3Ho3Mg crystal.

Properties
Energy of formation from the pure elements: 9 kJ/mol of formula units
Space-group type: P6_3/m, No. 176
Offset from the most stable computed form: 0.00 eV/f.u.

Unit cell a=5.6329 b=9.5300 c=9.5294 alpha=120.02 beta=90.00 gamma=90.00
With the nearest neighbours (Å) after each atom.
Fractional coordinates of all 14 atoms:
Pm 0.2500 0.5274 0.6294  3 Mg 3.48-3.67, 5 Ho 3.49-3.74, 4 Pm 3.55-3.61
Pm 0.2500 0.1019 0.4726  3 Mg 3.48-3.67, 5 Ho 3.49-3.75, 4 Pm 3.55-3.60
Pm 0.2500 0.3706 0.8981  3 Mg 3.48-3.67, 5 Ho 3.49-3.75, 4 Pm 3.55-3.60
Pm 0.7500 0.4726 0.3706  3 Mg 3.48-3.67, 5 Ho 3.49-3.74, 4 Pm 3.55-3.61
Pm 0.7500 0.8981 0.5274  3 Mg 3.48-3.67, 5 Ho 3.49-3.75, 4 Pm 3.55-3.60
Pm 0.7500 0.6294 0.1019  3 Mg 3.48-3.67, 5 Ho 3.49-3.75, 4 Pm 3.55-3.60
Ho 0.7500 0.7646 0.8176  6 Ho 3.48-3.53, 5 Pm 3.49-3.74, 1 Mg 3.61
Ho 0.7500 0.0532 0.2355  6 Ho 3.48-3.53, 5 Pm 3.49-3.75, 1 Mg 3.61
Ho 0.7500 0.1825 0.9470  6 Ho 3.48-3.53, 5 Pm 3.49-3.75, 1 Mg 3.61
Ho 0.2500 0.2354 0.1824  6 Ho 3.48-3.53, 5 Pm 3.49-3.74, 1 Mg 3.61
Ho 0.2500 0.9468 0.7645  6 Ho 3.48-3.53, 5 Pm 3.49-3.75, 1 Mg 3.61
Ho 0.2500 0.8175 0.0530  6 Ho 3.48-3.53, 5 Pm 3.49-3.75, 1 Mg 3.61
Mg 0.7500 0.3335 0.6668  9 Pm 3.48-3.67, 3 Ho 3.61
Mg 0.2500 0.6665 0.3332  9 Pm 3.48-3.67, 3 Ho 3.61



Density functional theory data (GGA-PBE) for a relaxed HoTm3Ni crystal.

Properties
Energy of formation from the pure elements: -29 kJ/mol of formula units
Space-group type: Pm-3m, No. 221
Offset from the most stable computed form: 0.33 eV/f.u.

Unit cell a=5.2286 b=5.2286 c=5.2286 alpha=90.00 beta=90.00 gamma=90.00
With the nearest neighbours (Å) after each atom.
Fractional coordinates of all 5 atoms:
Ni 0.0000 0.0000 0.0000  6 Tm 2.61
Tm 0.0000 0.5000 0.0000  2 Ni 2.61
Tm 0.0000 0.0000 0.5000  2 Ni 2.61
Tm 0.5000 0.0000 0.0000  2 Ni 2.61
Ho 0.5000 0.5000 0.5000  12 Tm 3.70



Density functional theory data (GGA-PBE) for a relaxed BaTc2 crystal.

Properties
Energy of formation from the pure elements: 118 kJ/mol of formula units
Space-group type: P-3m1, No. 164
Offset from the most stable computed form: 0.00 eV/f.u.

Unit cell a=4.1995 b=4.1995 c=11.4934 alpha=90.00 beta=90.00 gamma=120.00
With the nearest neighbours (Å) after each atom.
Fractional coordinates of all 6 atoms:
Ba 0.6667 0.3333 0.8090  6 Tc 3.35-3.66
Ba 0.3333 0.6667 0.1910  6 Tc 3.35-3.66
Tc 0.0000 0.0000 0.3918  4 Tc 2.46-2.49
Tc 0.3333 0.6667 0.5700  3 Tc 2.46
Tc 0.0000 0.0000 0.6082  4 Tc 2.46-2.49
Tc 0.6667 0.3333 0.4300  3 Tc 2.46



Density functional theory data (GGA-PBE) for a relaxed CdRuCl2 crystal.

Properties
Formation energy from raw total energies: 0.0916 eV/atom
Space-group type: R-3m, No. 166
Offset from the most stable computed form: 1.15 eV/f.u.

Unit cell a=10.4288 b=10.4288 c=10.4288 alpha=16.64 beta=16.64 gamma=16.64
With the nearest neighbours (Å) after each atom.
Fractional coordinates of all 4 atoms:
Ru 0.0000 0.0000 0.0000  2 Cl 2.22
Cl 0.9280 0.9280 0.9280  1 Ru 2.22
Cl 0.0720 0.0720 0.0720  1 Ru 2.22
Cd 0.5000 0.5000 0.5000  6 Cd 3.02



Density functional theory data (GGA-PBE) for a relaxed Nd5Sb2H crystal.

Properties
Space-group type: I4mm, No. 107
Uncorrected energy: -4.98 eV per atom

Unit cell a=7.1524 b=7.1524 c=6.7555 alpha=121.99 beta=121.99 gamma=89.96
With the nearest neighbours (Å) after each atom.
Fractional coordinates of all 8 atoms:
Nd 0.7519 0.2490 0.0009  1 H 2.52
Nd 0.2488 0.2488 0.0006  1 H 2.52
Nd 0.7519 0.7519 0.0008  1 H 2.52
Nd 0.2490 0.7519 0.0009  1 H 2.52
Nd 0.7538 0.7538 0.5078  1 H 2.39
Sb 0.2501 0.7502 0.5002  10 Nd 3.37-3.58
Sb 0.7502 0.2501 0.5002  10 Nd 3.37-3.58
H 0.0213 0.0213 0.0426  5 Nd 2.39-2.52



Density functional theory data (GGA-PBE) for a relaxed Cd5Cu24 crystal.

Properties
Energy of formation from the pure elements: 206 kJ/mol of formula units
Space-group type: I-43m, No. 217

Unit cell a=7.9862 b=7.9862 c=7.9862 alpha=109.47 beta=109.47 gamma=109.47
With the nearest neighbours (Å) after each atom.
Fractional coordinates of all 29 atoms:
Cd 0.6322 0.0000 0.0000  12 Cu 2.62-2.90
Cd 0.0000 0.0000 0.6322  12 Cu 2.62-2.90
Cd 0.0000 0.6322 0.0000  12 Cu 2.62-2.90
Cd 0.3678 0.3678 0.3678  12 Cu 2.62-2.90
Cd 0.0000 0.0000 0.0000  12 Cu 2.92, 4 Cd 2.94
Cu 0.3813 0.0000 0.1922  8 Cu 2.40-2.68
Cu 0.1922 0.0000 0.3813  8 Cu 2.40-2.68
Cu 0.8078 0.1891 0.8078  8 Cu 2.40-2.68
Cu 0.6187 0.8109 0.6187  8 Cu 2.40-2.68
Cu 0.1891 0.8078 0.8078  8 Cu 2.40-2.68
Cu 0.8109 0.6187 0.6187  8 Cu 2.40-2.68
Cu 0.0000 0.1922 0.3813  8 Cu 2.40-2.68
Cu 0.0000 0.3813 0.1922  8 Cu 2.40-2.68
Cu 0.3813 0.1922 0.0000  8 Cu 2.40-2.68
Cu 0.1922 0.3813 0.0000  8 Cu 2.40-2.68
Cu 0.6187 0.6187 0.8109  8 Cu 2.40-2.68
Cu 0.8078 0.8078 0.1891  8 Cu 2.40-2.68
Cu 0.4049 0.0000 0.6759  7 Cu 2.40-2.68, 1 Cd 2.62
Cu 0.6759 0.0000 0.4049  7 Cu 2.40-2.68, 1 Cd 2.62
Cu 0.3241 0.7290 0.3241  7 Cu 2.40-2.68, 1 Cd 2.62
Cu 0.5951 0.2710 0.5951  7 Cu 2.40-2.68, 1 Cd 2.62
Cu 0.7290 0.3241 0.3241  7 Cu 2.40-2.68, 1 Cd 2.62
Cu 0.2710 0.5951 0.5951  7 Cu 2.40-2.68, 1 Cd 2.62
Cu 0.0000 0.6759 0.4049  7 Cu 2.40-2.68, 1 Cd 2.62
Cu 0.0000 0.4049 0.6759  7 Cu 2.40-2.68, 1 Cd 2.62
Cu 0.4049 0.6759 0.0000  7 Cu 2.40-2.68, 1 Cd 2.62
Cu 0.6759 0.4049 0.0000  7 Cu 2.40-2.68, 1 Cd 2.62
Cu 0.5951 0.5951 0.2710  7 Cu 2.40-2.68, 1 Cd 2.62
Cu 0.3241 0.3241 0.7290  7 Cu 2.40-2.68, 1 Cd 2.62



Density functional theory data (GGA-PBE) for a relaxed LiErGe2Pd crystal.

Properties
Energy of formation from the pure elements: -351 kJ/mol of formula units
Space-group type: I-4m2, No. 119

Unit cell a=4.0267 b=4.0267 c=6.1868 alpha=108.99 beta=108.99 gamma=90.00
With the nearest neighbours (Å) after each atom.
Fractional coordinates of all 5 atoms:
Li 0.2500 0.7500 0.5000  4 Ge 2.53
Er 0.0000 0.0000 0.0000  8 Ge 3.10, 4 Li 3.41, 4 Pd 3.41
Ge 0.6109 0.6109 0.2218  1 Ge 2.44, 2 Li 2.53, 2 Pd 2.53
Ge 0.3891 0.3891 0.7782  1 Ge 2.44, 2 Li 2.53, 2 Pd 2.53
Pd 0.7500 0.2500 0.5000  4 Ge 2.53



Density functional theory data (GGA-PBE) for a relaxed NdEr3Tl crystal.

Properties
Energy of formation from the pure elements: 59 kJ/mol of formula units
Space-group type: P6_3/mmc, No. 194
Offset from the most stable computed form: 1.16 eV/f.u.

Unit cell a=6.0905 b=7.9765 c=7.9764 alpha=120.00 beta=90.00 gamma=90.00
With the nearest neighbours (Å) after each atom.
Fractional coordinates of all 10 atoms:
Nd 0.7499 0.6667 0.3334  12 Er 3.60-4.01
Nd 0.2501 0.3333 0.6666  12 Er 3.60-4.01
Er 0.7500 0.6127 0.8064  2 Tl 3.08, 2 Er 3.34
Er 0.2500 0.8063 0.6126  2 Tl 3.08, 2 Er 3.34
Er 0.2500 0.3873 0.1936  2 Tl 3.08, 2 Er 3.34
Er 0.7500 0.1937 0.3874  2 Tl 3.08, 2 Er 3.34
Er 0.2500 0.8063 0.1936  2 Tl 3.08, 2 Er 3.34
Er 0.7500 0.1937 0.8064  2 Tl 3.08, 2 Er 3.34
Tl 0.0000 0.0000 0.0000  2 Tl 3.05, 6 Er 3.08
Tl 0.5000 0.0000 0.0000  2 Tl 3.05, 6 Er 3.08



Density functional theory data (GGA-PBE) for a relaxed Li6Pm2Cd3 crystal.

Properties
Energy of formation from the pure elements: -98 kJ/mol of formula units
Space-group type: P-62m, No. 189

Unit cell a=3.9265 b=8.6934 c=8.6934 alpha=120.00 beta=90.00 gamma=90.00
With the nearest neighbours (Å) after each atom.
Fractional coordinates of all 11 atoms:
Li 0.5000 0.7230 0.7230  1 Cd 2.76, 4 Li 2.90
Li 0.5000 0.0000 0.2770  1 Cd 2.76, 4 Li 2.90
Li 0.0000 0.1885 0.1885  2 Cd 2.72, 6 Li 2.84-2.90
Li 0.0000 0.8115 0.0000  2 Cd 2.72, 6 Li 2.84-2.90
Li 0.5000 0.2770 0.0000  1 Cd 2.76, 4 Li 2.90
Li 0.0000 0.0000 0.8115  2 Cd 2.72, 6 Li 2.84-2.90
Pm 0.0000 0.6667 0.3333  6 Cd 3.29
Pm 0.0000 0.3333 0.6667  6 Cd 3.29
Cd 0.5000 0.4052 0.4052  3 Li 2.72-2.76
Cd 0.5000 0.5948 0.0000  3 Li 2.72-2.76
Cd 0.5000 0.0000 0.5948  3 Li 2.72-2.76



Density functional theory data (GGA-PBE) for a relaxed La2TeRh2 crystal.

Properties
Formation energy from raw total energies: -0.8896 eV/atom
Space-group type: I4/mmm, No. 139
Offset from the most stable computed form: 0.26 eV/f.u.

Unit cell a=4.0448 b=4.0448 c=8.5015 alpha=76.24 beta=76.24 gamma=90.00
With the nearest neighbours (Å) after each atom.
Fractional coordinates of all 5 atoms:
Te 0.0000 0.0000 0.0000  8 La 3.49
Rh 0.7500 0.2500 0.5000  4 La 2.84, 4 Rh 2.86
Rh 0.2500 0.7500 0.5000  4 La 2.84, 4 Rh 2.86
La 0.3746 0.3746 0.2508  4 Rh 2.84
La 0.6254 0.6254 0.7492  4 Rh 2.84



Density functional theory data (GGA-PBE) for a relaxed SmSi3Tc crystal.

Properties
Formation energy from raw total energies: -0.5239 eV/atom
Space-group type: I4mm, No. 107

Unit cell a=4.2239 b=4.2239 c=5.8657 alpha=111.10 beta=111.10 gamma=90.00
With the nearest neighbours (Å) after each atom.
Fractional coordinates of all 5 atoms:
Sm 0.9945 0.9945 0.9890  12 Si 3.08-3.42, 5 Tc 3.39-3.44
Si 0.2613 0.7613 0.5226  2 Tc 2.37, 2 Si 2.65
Si 0.7613 0.2613 0.5226  2 Tc 2.37, 2 Si 2.65
Si 0.4194 0.4194 0.8389  1 Tc 2.37, 4 Si 2.65
Tc 0.6538 0.6538 0.3075  5 Si 2.37



Results for M_tot: 0.000 0.000 22.826 3.038 0.435 0.000 0.000 0.067 0.000 0.338 0.000 0.398 0.000 0.000 0.000 0.000 0.000 0.000 0.000 0.000 (in μB/f.u., following the order of the records).